[1]
Compound: KTaBe
Source: Alexandria
Functional: PBE
Structure: optimized geometry

Values from the calculation:
Calculated density (g/cm³): 5.18
ΔE_f (kJ/mol of atoms): 39.3
Distance to the lowest polymorph of the same formula (kJ/mol of formula units): 6

a = 3.394 Å, b = 3.392 Å, c = 12.767 Å
α = 90.00°, β = 90.75°, γ = 90.00°
Sites, in units of the cell vectors:
K 0.234 0.250 0.164
K 0.766 0.750 0.836
Ta 0.246 0.250 0.436
Ta 0.754 0.750 0.564
Be 0.257 0.250 0.633
Be 0.743 0.750 0.367


[2]
Compound: K2TaBe
Source: Alexandria
Functional: PBE
Structure: optimized geometry

Values from the calculation:
Calculated density (g/cm³): 4.42
ΔE_f (kJ/mol of atoms): 144.2

a = 6.734 Å, b = 6.734 Å, c = 2.826 Å
α = 90.00°, β = 90.00°, γ = 128.18°
Sites, in units of the cell vectors:
K 0.000 0.500 0.000
K 0.500 0.000 0.000
Ta 0.000 0.000 0.500
Be 0.500 0.500 0.500


Which of these has the highest calculated density?
KTaBe